No. 1
Cs2Tl4CdBi3 | PBE | optimized geometry

a b c (Å): 5.400 5.400 13.581
angles (deg): 90.00 90.00 90.00
Atoms (fractional coordinates):
Cs 0.000 0.500 0.249
Cs 0.500 0.000 0.751
Tl 0.000 0.000 0.000
Tl 0.000 0.500 0.626
Tl 0.500 0.000 0.374
Tl 0.500 0.500 0.000
Cd 0.000 0.000 0.500
Bi 0.000 0.500 0.871
Bi 0.500 0.000 0.129
Bi 0.500 0.500 0.500

SG = No. 115

No. 2
MnAl3Ir | PBE | optimized geometry

a b c (Å): 4.718 4.718 4.718
angles (deg): 90.00 90.00 90.00
Atoms (fractional coordinates):
Mn 0.000 0.000 0.000
Al 0.000 0.500 0.500
Al 0.500 0.000 0.500
Al 0.500 0.500 0.000
Ir 0.500 0.500 0.500

SG = No. 221

Number 1: formation energy from the elements -14.99 kJ per mole of atoms, energy -0.1858 Ry/atom. Number 2: formation energy from the elements 13.85 kJ per mole of atoms, energy -0.4195 Ry/atom.